ZrTa4Co: relaxed, PBE.

Computed properties:
ΔH_f (0 K) = 0.406 eV per atom
SG = F-43m

Cell lengths 5.462, 5.462, 5.462 Å; angles 60.00, 60.00, 60.00 degrees
Last column: magnetic moment on the atom in μB.
Positions (direct):
Ta: 0.624 0.624 0.127  -0.01
Ta: 0.624 0.624 0.624  -0.01
Zr: 0.250 0.250 0.250  0.05
Ta: 0.127 0.624 0.624  -0.01
Co: 0.000 0.000 0.000  1.64
Ta: 0.624 0.127 0.624  -0.01

=====

Ca4AgAu: relaxed, PBE.

Computed properties:
ΔH_f (0 K) = -0.393 eV per atom
Offset from the most stable computed form = 0.000 eV/atom
SG = P2_1/m

Cell lengths 6.836, 6.944, 8.306 Å; angles 90.00, 107.60, 90.00 degrees
Positions (direct):
Ca: 0.002 0.499 0.264
Au: 0.758 0.750 0.436
Ca: 0.002 0.001 0.264
Ca: 0.419 0.750 0.104
Ca: 0.434 0.750 0.610
Ag: 0.219 0.250 0.051
Ca: 0.581 0.250 0.896
Au: 0.242 0.250 0.564
Ca: 0.566 0.250 0.390
Ca: 0.998 0.501 0.736
Ag: 0.781 0.750 0.949
Ca: 0.998 0.999 0.736

=====

PmPr7Nd5: relaxed, PBE.

Computed properties:
ΔH_f (0 K) = 0.211 eV per atom
SG = Imm2

Cell lengths 6.902, 8.994, 8.994 Å; angles 78.89, 67.44, 67.44 degrees
Positions (direct):
Nd: 0.994 0.551 0.005
Pr: 0.980 0.700 0.340
Pm: 0.035 0.965 0.965
Pr: 0.483 0.186 0.848
Pr: 0.980 0.340 0.700
Nd: 0.994 0.005 0.551
Pr: 0.242 0.258 0.258
Nd: 0.451 0.005 0.551
Nd: 0.451 0.551 0.005
Pr: 0.423 0.577 0.577
Pr: 0.727 0.273 0.273
Pr: 0.483 0.848 0.186
Nd: 0.758 0.742 0.742

=====

AcSm3Dy5: relaxed, PBE.

Computed properties:
ΔH_f (0 K) = 0.589 eV per atom
Offset from the most stable computed form = 0.498 eV/atom
SG = C2/m

Cell lengths 8.437, 8.437, 13.842 Å; angles 58.95, 58.95, 86.70 degrees
Positions (direct):
Sm: 0.000 0.000 0.000
Ac: 0.978 0.978 0.782
Sm: 0.667 0.667 0.825
Sm: 0.333 0.333 0.655
Dy: 0.687 0.687 0.574
Ac: 0.022 0.022 0.218
Dy: 0.352 0.352 0.891
Dy: 0.648 0.648 0.109
Dy: 0.254 0.746 0.000
Dy: 0.721 0.229 0.384
Dy: 0.229 0.721 0.384
Dy: 0.746 0.254 0.000
Dy: 0.771 0.279 0.616
Dy: 0.313 0.313 0.426
Dy: 0.279 0.771 0.616
Sm: 0.333 0.333 0.175
Sm: 0.667 0.667 0.345
Sm: 0.000 0.000 0.500

=====

La3Dy2YSe6: relaxed, PBE.

Computed properties:
Formation energy without anion corrections = -1886 meV per atom
SG = C2/m

Cell lengths 7.214, 7.214, 7.361 Å; angles 99.39, 99.39, 120.17 degrees
Positions (direct):
Se: 0.077 0.411 0.231
La: 0.166 0.834 0.500
Dy: 0.333 0.667 0.000
La: 0.834 0.166 0.500
Se: 0.743 0.743 0.231
Se: 0.923 0.589 0.769
Dy: 0.667 0.333 0.000
Se: 0.589 0.923 0.769
Y: 0.000 0.000 0.000
Se: 0.411 0.077 0.231
La: 0.500 0.500 0.500
Se: 0.257 0.257 0.769

=====

Ho2Sc2Bi2C: relaxed, PBE.

Computed properties:
ΔH_f (0 K) = -0.739 eV per atom
SG = I4/mmm

Cell lengths 4.570, 4.570, 8.572 Å; angles 105.46, 105.46, 90.00 degrees
Last column: magnetic moment on the atom in μB.
Positions (direct):
Ho: 0.845 0.845 0.690  0.05
Sc: 0.000 0.500 0.000  0.07
Sc: 0.500 0.000 0.000  0.07
C: 0.000 0.000 0.000  -0.01
Bi: 0.641 0.641 0.283  -0.01
Ho: 0.155 0.155 0.310  0.05
Bi: 0.359 0.359 0.717  -0.01

=====

RbTlCu2I4: relaxed, PBE.

Computed properties:
Formation energy without anion corrections = -566 meV per atom
SG = I222

Cell lengths 8.434, 7.579, 7.579 Å; angles 71.51, 56.20, 56.20 degrees
Positions (direct):
I: 0.005 0.888 0.511
I: 0.405 0.112 0.489
Rb: 0.000 0.000 0.000
I: 0.995 0.489 0.112
Cu: 0.146 0.354 0.354
Tl: 0.500 0.500 0.500
Cu: 0.854 0.646 0.646
I: 0.595 0.511 0.888

=====

NaSr2TmBr8: relaxed, PBE.

Computed properties:
Formation energy without anion corrections = -1918 meV per atom
SG = P2/m

Cell lengths 7.026, 6.856, 9.143 Å; angles 90.00, 90.00, 90.59 degrees
Positions (direct):
Br: 0.165 0.787 0.776
Br: 0.835 0.213 0.224
Sr: 0.500 0.500 0.254
Br: 0.680 0.726 0.500
Br: 0.835 0.213 0.776
Na: 0.000 0.000 0.500
Br: 0.315 0.259 0.000
Tm: 0.000 0.000 0.000
Br: 0.165 0.787 0.224
Sr: 0.500 0.500 0.746
Br: 0.685 0.741 0.000
Br: 0.320 0.274 0.500

=====

no.,calculated density (Mg/m³),N(E_F) (states/eV/cell)
1,12.60,6.07
2,4.11,8.19
3,6.47,22.77
4,7.14,27.72
5,6.92,6.49
6,8.51,7.50
7,4.59,0.00
8,3.79,0.00